# 1
Entry from the Alexandria database: a geometry-optimized BaZr2Os structure (PBE-GGA). Values from VASP.

The energy of formation from the pure elements comes out at 547 meV/atom. The total magnetic moment comes out at 0.00 Bohr magnetons per cell. Its excess energy over the best structure of this formula in the dataset is 0.447 eV/atom.

Cell and atoms, written as Quantum ESPRESSO input:
```
&SYSTEM
  ibrav = 0, nat = 4, ntyp = 3
/
ATOMIC_SPECIES
Os 190.23 Os.upf
Ba 137.33 Ba.upf
Zr 91.22 Zr.upf
ATOMIC_POSITIONS angstrom
Os 3.535 3.535 3.535
Ba 0.000 0.000 0.000
Zr 1.768 1.768 1.768
Zr 5.303 5.303 5.303
CELL_PARAMETERS angstrom
0.000 3.535 3.535
3.535 0.000 3.535
3.535 3.535 0.000
```

***

# 2
Entry from the Alexandria database: a geometry-optimized BaZr2Os structure (PBE-GGA). Values from VASP.

The energy of formation from the pure elements comes out at 125 meV/atom. The total magnetic moment comes out at 0.00 Bohr magnetons per cell. Its excess energy over the best structure of this formula in the dataset is 0.024 eV/atom.

Cell and atoms, written as Quantum ESPRESSO input:
```
&SYSTEM
  ibrav = 0, nat = 4, ntyp = 3
/
ATOMIC_SPECIES
Ba 137.33 Ba.upf
Os 190.23 Os.upf
Zr 91.22 Zr.upf
ATOMIC_POSITIONS angstrom
Ba -2.972 -0.587 0.630
Os -8.917 -1.762 1.890
Zr -4.946 -0.854 4.912
Zr -6.294 -1.221 2.032
CELL_PARAMETERS angstrom
-3.727 1.376 -1.649
-2.868 -2.824 -1.515
-5.295 -0.900 5.684
```

***

# 3
Entry from the Alexandria database: a geometry-optimized BaZr2Os structure (PBE-GGA). Values from VASP.

The energy of formation from the pure elements comes out at 347 meV/atom. The total magnetic moment comes out at 0.00 Bohr magnetons per cell. Its excess energy over the best structure of this formula in the dataset is 0.246 eV/atom.

Cell and atoms, written as Quantum ESPRESSO input:
```
&SYSTEM
  ibrav = 0, nat = 4, ntyp = 3
/
ATOMIC_SPECIES
Ba 137.33 Ba.upf
Os 190.23 Os.upf
Zr 91.22 Zr.upf
ATOMIC_POSITIONS angstrom
Ba 3.653 -0.730 1.442
Os 1.885 2.130 1.446
Zr 0.538 0.332 0.000
Zr 4.096 2.532 0.000
CELL_PARAMETERS angstrom
6.401 0.005 -0.003
2.866 5.724 0.003
-3.728 -4.329 2.888
```

***

# 4
Entry from the Alexandria database: a geometry-optimized BaZr2Os structure (PBE-GGA). Values from VASP.

The energy of formation from the pure elements comes out at 695 meV/atom. The total magnetic moment comes out at 0.00 Bohr magnetons per cell. Its excess energy over the best structure of this formula in the dataset is 0.595 eV/atom.

Cell and atoms, written as Quantum ESPRESSO input:
```
&SYSTEM
  ibrav = 0, nat = 4, ntyp = 3
/
ATOMIC_SPECIES
Ba 137.33 Ba.upf
Os 190.23 Os.upf
Zr 91.22 Zr.upf
ATOMIC_POSITIONS angstrom
Ba -1.546 -1.057 2.414
Os 1.193 1.260 2.514
Zr 0.000 0.000 0.000
Zr 1.401 -1.776 2.780
CELL_PARAMETERS angstrom
-1.338 -4.093 2.680
4.139 0.541 2.881
-1.754 1.979 2.148
```

***

# 5
Entry from the Alexandria database: a geometry-optimized BaZr2Os structure (PBE-GGA). Values from VASP.

The energy of formation from the pure elements comes out at 812 meV/atom. The total magnetic moment comes out at 0.00 Bohr magnetons per cell. Its excess energy over the best structure of this formula in the dataset is 0.711 eV/atom.

Cell and atoms, written as Quantum ESPRESSO input:
```
&SYSTEM
  ibrav = 0, nat = 4, ntyp = 3
/
ATOMIC_SPECIES
Ba 137.33 Ba.upf
Os 190.23 Os.upf
Zr 91.22 Zr.upf
ATOMIC_POSITIONS angstrom
Ba -4.138 -2.125 2.229
Os -0.905 -1.566 2.794
Zr 0.000 0.000 0.000
Zr -1.594 -2.913 0.231
CELL_PARAMETERS angstrom
-3.448 -0.779 4.792
-4.827 -3.472 -0.334
5.776 -0.229 -1.433
```

***

# 6
Entry from the Alexandria database: a geometry-optimized Ba4ZrOs structure (PBE-GGA). Values from VASP.

The energy of formation from the pure elements comes out at 1508 meV/atom. The total magnetic moment comes out at 2.51 Bohr magnetons per cell.

Cell and atoms, written as Quantum ESPRESSO input:
```
&SYSTEM
  ibrav = 0, nat = 6, ntyp = 3
/
ATOMIC_SPECIES
Ba 137.33 Ba.upf
Zr 91.22 Zr.upf
Os 190.23 Os.upf
ATOMIC_POSITIONS angstrom
Ba -1.856 -8.609 -2.793
Ba -4.979 -7.477 -2.160
Ba -3.083 -8.703 0.357
Ba -2.295 -5.737 -1.064
Zr 0.000 0.000 0.000
Os -4.580 -11.447 -2.123
CELL_PARAMETERS angstrom
0.884 -5.785 -3.483
-1.586 -5.973 2.861
-5.405 -3.505 -2.208
```